Entry 1:
Computed, not measured: a relaxed TaBeH crystal at the GGA-PBE level of DFT.

Calculated values
Symmetry: Pm (6)
Volume in Å³ per cell: 55.8
Theoretical density in g/cm3: 11.365
Energy above the most stable polymorph in this dataset in meV/atom: 76.6

a b c (Å): 3.4327 3.4733 4.9835
angles (deg): 90.00 110.08 90.00
Closest atoms and distances in Å follow each position.
Fractional coordinates of all 6 atoms:
Ta1 0.0000 0.0000 0.0000  3 H 1.89-1.94
Ta2 0.3000 0.5000 0.6030  4 H 1.97-1.98
Be1 0.5841 0.5000 0.1674  2 Be 2.13
Be2 0.7145 0.0000 0.4305  2 H 1.70-1.74
H1 0.2074 0.0000 0.4040  2 Be 1.70-1.74, 1 Ta 1.89, 1 H 1.89
H2 0.4044 0.0000 0.8081  1 H 1.89, 4 Ta 1.94-1.98

Entry 2:
Computed, not measured: a relaxed TaBeH crystal at the GGA-PBE level of DFT.

Calculated values
Symmetry: F-43m (216)
Volume in Å³ per cell: 35.5
Theoretical density in g/cm3: 8.929
Energy above the most stable polymorph in this dataset in meV/atom: 1362.4

a b c (Å): 3.6896 3.6896 3.6896
angles (deg): 60.00 60.00 60.00
Closest atoms and distances in Å follow each position.
Fractional coordinates of all 3 atoms:
Ta1 0.0000 0.0000 0.0000  4 H 2.26, 4 Be 2.26
Be1 0.7500 0.7500 0.7500  4 Ta 2.26
H1 0.2500 0.2500 0.2500  4 Ta 2.26

Entry 3:
Computed, not measured: a relaxed Ta2BeH crystal at the GGA-PBE level of DFT.

Calculated values
Symmetry: R-3m (166)
Volume in Å³ per cell: 54.9
Theoretical density in g/cm3: 11.247
Energy above the most stable polymorph in this dataset in meV/atom: 524.4

a b c (Å): 7.9648 7.9648 7.9648
angles (deg): 20.63 20.63 20.63
Closest atoms and distances in Å follow each position.
Fractional coordinates of all 4 atoms:
Ta1 0.1082 0.1082 0.1082  3 H 2.14
Ta2 0.8918 0.8918 0.8918  3 H 2.14
Be1 0.0000 0.0000 0.0000  2 Ta 2.53
H1 0.5000 0.5000 0.5000  6 Ta 2.14

Entry 4:
Computed, not measured: a relaxed TaBeH crystal at the GGA-PBE level of DFT.

Calculated values
Symmetry: P1 (1)
Volume in Å³ per cell: 57.0
Theoretical density in g/cm3: 11.123
Energy above the most stable polymorph in this dataset in meV/atom: 136.4

a b c (Å): 3.4846 3.4976 4.9924
angles (deg): 69.58 89.48 89.87
Closest atoms and distances in Å follow each position.
Fractional coordinates of all 6 atoms:
Ta1 0.0000 0.0000 0.0000  2 H 1.84-1.87
Ta2 0.4781 0.6964 0.6072  3 H 1.86-1.92
Be1 0.9998 0.3031 0.4326  2 H 1.52-1.61
Be2 0.4845 0.4396 0.1565  1 H 1.51
H1 0.6775 0.1595 0.6820  1 Be 1.61
H2 0.7360 0.0738 0.2999  2 Be 1.51-1.52

Entry 5:
Computed, not measured: a relaxed TaBeH crystal at the GGA-PBE level of DFT.

Calculated values
Symmetry: P6_3/mmc (194)
Volume in Å³ per cell: 66.1
Theoretical density in g/cm3: 9.601
Energy above the most stable polymorph in this dataset in meV/atom: 1019.4

a b c (Å): 3.9510 3.9510 4.8863
angles (deg): 90.00 90.00 120.00
Closest atoms and distances in Å follow each position.
Fractional coordinates of all 6 atoms:
Ta1 0.3333 0.6667 0.2500  3 H 2.28, 5 Be 2.28-2.44
Ta2 0.6667 0.3333 0.7500  3 H 2.28, 5 Be 2.28-2.44
Be1 0.3333 0.6667 0.7500  3 H 2.28, 5 Ta 2.28-2.44
Be2 0.6667 0.3333 0.2500  3 H 2.28, 5 Ta 2.28-2.44
H1 0.0000 0.0000 0.2500  3 Be 2.28, 3 Ta 2.28, 2 H 2.44
H2 0.0000 0.0000 0.7500  3 Ta 2.28, 3 Be 2.28, 2 H 2.44

Entry 6:
Computed, not measured: a relaxed TaBeH2 crystal at the GGA-PBE level of DFT.

Calculated values
Symmetry: Cm (8)
Volume in Å³ per cell: 63.5
Theoretical density in g/cm3: 10.036
Energy above the most stable polymorph in this dataset in meV/atom: 103.1

a b c (Å): 4.8779 4.8779 5.0004
angles (deg): 120.68 120.68 39.44
Closest atoms and distances in Å follow each position.
Fractional coordinates of all 8 atoms:
Ta1 0.0000 0.0000 0.0000  5 H 1.88-1.99
Ta2 0.5888 0.5888 0.5872  4 H 1.92-1.98
Be1 0.3018 0.3018 0.5746  2 H 1.52-1.53
Be2 0.8135 0.8135 0.2838  3 H 1.65-1.69
H1 0.1396 0.1396 0.8303  2 H 1.83-2.04, 3 Ta 1.88-1.95
H2 0.3325 0.3325 0.3022  3 Be 1.53-1.65
H3 0.3617 0.3617 0.9237  1 Be 1.52
H4 0.6164 0.6164 0.2331  1 Be 1.69

Entry 7:
Computed, not measured: a relaxed TaBeH crystal at the GGA-PBE level of DFT.

Calculated values
Symmetry: P1 (1)
Volume in Å³ per cell: 56.7
Theoretical density in g/cm3: 11.195
Energy above the most stable polymorph in this dataset in meV/atom: 106.3

a b c (Å): 3.4870 3.5008 4.9561
angles (deg): 110.55 90.04 90.25
Closest atoms and distances in Å follow each position.
Fractional coordinates of all 6 atoms:
Ta1 0.0000 0.0000 0.0000  3 H 1.89-1.98
Ta2 0.4985 0.2869 0.5756  3 H 1.90-1.97
Be1 0.0025 0.6921 0.4214  1 H 1.48
Be2 0.5137 0.5837 0.1681  1 H 1.47
H1 0.2327 0.4767 0.9322  1 Be 1.47
H2 0.9902 0.0995 0.6489  1 Be 1.48

Entry 8:
Computed, not measured: a relaxed TaBeH crystal at the GGA-PBE level of DFT.

Calculated values
Symmetry: P1 (1)
Volume in Å³ per cell: 56.5
Theoretical density in g/cm3: 11.223
Energy above the most stable polymorph in this dataset in meV/atom: 98.2

a b c (Å): 3.4716 3.4868 4.9775
angles (deg): 89.22 69.72 89.89
Closest atoms and distances in Å follow each position.
Fractional coordinates of all 6 atoms:
Ta1 0.0000 0.0000 0.0000  3 H 1.85-1.96
Ta2 0.3039 0.4938 0.3904  3 H 1.85-1.98
Be1 0.6010 0.4900 0.8290  1 H 1.52
Be2 0.7386 0.0065 0.5616  1 H 1.49
H1 0.3738 0.7556 0.6921  2 Be 1.49-1.52
H2 0.9060 0.4945 0.1893  4 Ta 1.95-1.98

Entry 9:
Computed, not measured: a relaxed TaBeH crystal at the GGA-PBE level of DFT.

Calculated values
Symmetry: Cmc2_1 (36)
Volume in Å³ per cell: 56.2
Theoretical density in g/cm3: 11.278
Energy above the most stable polymorph in this dataset in meV/atom: 61.5

a b c (Å): 4.9331 4.9331 3.4596
angles (deg): 90.00 90.00 138.09
Closest atoms and distances in Å follow each position.
Fractional coordinates of all 6 atoms:
Ta1 0.1413 0.8587 0.5000  3 H 1.89-1.92
Ta2 0.8587 0.1413 0.0000  3 H 1.89-1.92
Be1 0.4327 0.5673 0.4969  1 H 1.65
Be2 0.5673 0.4327 0.9969  1 H 1.65
H1 0.3051 0.6949 0.8306  1 Be 1.65
H2 0.6949 0.3051 0.3306  1 Be 1.65

Entry 10:
Computed, not measured: a relaxed TaBeH crystal at the GGA-PBE level of DFT.

Calculated values
Symmetry: P2_1/m (11)
Volume in Å³ per cell: 56.6
Theoretical density in g/cm3: 11.206
Energy above the most stable polymorph in this dataset in meV/atom: 179.0

a b c (Å): 3.5919 3.3715 5.0052
angles (deg): 90.00 110.98 90.00
Closest atoms and distances in Å follow each position.
Fractional coordinates of all 6 atoms:
Ta1 0.1463 0.2500 0.2945  2 H 1.88
Ta2 0.8537 0.7500 0.7055  2 H 1.88
Be1 0.4252 0.2500 0.8487  3 H 1.53-1.69
Be2 0.5748 0.7500 0.1513  3 H 1.53-1.69
H1 0.4131 0.7500 0.8246  3 Be 1.53-1.69
H2 0.5869 0.2500 0.1754  3 Be 1.53-1.69

Entry 11:
Computed, not measured: a relaxed TaBeH crystal at the GGA-PBE level of DFT.

Calculated values
Symmetry: P6_3/mmc (194)
Volume in Å³ per cell: 69.8
Theoretical density in g/cm3: 9.092
Energy above the most stable polymorph in this dataset in meV/atom: 1201.5

a b c (Å): 2.7842 2.7842 10.3913
angles (deg): 90.00 90.00 120.00
Closest atoms and distances in Å follow each position.
Fractional coordinates of all 6 atoms:
Ta1 0.0000 0.0000 0.0000  2 Be 2.60, 6 Ta 2.78
Ta2 0.0000 0.0000 0.5000  2 Be 2.60, 6 Ta 2.78
Be1 0.0000 0.0000 0.2500  3 H 1.61
Be2 0.0000 0.0000 0.7500  3 H 1.61
H1 0.3333 0.6667 0.2500  3 Be 1.61
H2 0.6667 0.3333 0.7500  3 Be 1.61

Entry 12:
Computed, not measured: a relaxed TaBeH crystal at the GGA-PBE level of DFT.

Calculated values
Symmetry: Imm2 (44)
Volume in Å³ per cell: 60.1
Theoretical density in g/cm3: 10.554
Energy above the most stable polymorph in this dataset in meV/atom: 221.4

a b c (Å): 4.7543 4.7543 4.7543
angles (deg): 139.48 76.69 118.04
Closest atoms and distances in Å follow each position.
Fractional coordinates of all 6 atoms:
Ta1 0.2128 0.0000 0.2128  3 H 1.92-1.95
Ta2 0.7872 0.0000 0.7872  3 H 1.92-1.95
Be1 0.4995 0.4995 0.0000  2 Be 2.15
Be2 0.7827 0.2827 0.5000  2 Be 2.15, 2 H 2.20
H1 0.0429 0.6809 0.3619  3 Ta 1.92-1.95, 1 H 2.06
H2 0.3190 0.6809 0.6381  3 Ta 1.92-1.95, 1 H 2.06

no.,M_tot (μB/cell)
1,0.00
2,0.00
3,0.00
4,0.00
5,0.00
6,0.00
7,0.00
8,0.00
9,0.00
10,0.00
11,0.00
12,0.00